(1)
4
Lattice="4.463 0.000 0.000 0.000 4.463 0.000 0.000 0.000 3.280" Properties=species:S:1:pos:R:3 comment="Cd2NiIr PBE relaxed" final_energy_ev_per_atom=-3.9495 pbc="T T T"
Cd 0.000 2.232 0.000
Cd 2.232 0.000 0.000
Ni 0.000 0.000 1.640
Ir 2.232 2.232 1.640

(2)
3
Lattice="-1.416 1.416 5.657 1.416 -1.416 5.657 1.416 1.416 -5.657" Properties=species:S:1:pos:R:3 comment="CdNiIr PBE relaxed" polymorph_energy_mev_per_atom=0 final_energy_ev_per_atom=-5.0499 pbc="T T T"
Cd 0.000 0.000 0.000
Ni 0.000 0.000 3.689
Ir 0.000 0.000 7.798

(3)
4
Lattice="4.283 -1.381 0.000 4.283 1.381 0.000 -0.826 0.000 4.871" Properties=species:S:1:pos:R:3 comment="CdNi2Ir PBE relaxed" final_energy_ev_per_atom=-5.1480 pbc="T T T"
Cd 0.000 0.000 0.000
Ni 1.491 0.000 3.458
Ni 6.248 0.000 1.413
Ir 3.870 0.000 2.436

(4)
5
Lattice="-1.773 1.773 7.429 1.773 -1.773 7.429 1.773 1.773 -7.429" Properties=species:S:1:pos:R:3 comment="Cd2NiIr2 PBE relaxed" polymorph_energy_mev_per_atom=341 final_energy_ev_per_atom=-4.5022 pbc="T T T"
Cd 0.000 0.000 1.399
Cd 0.000 0.000 13.458
Ni 0.000 0.000 7.429
Ir 1.773 0.000 3.714
Ir 0.000 1.773 3.714

(5)
8
Lattice="-1.930 1.930 8.574 1.930 -1.930 8.574 1.930 1.930 -8.574" Properties=species:S:1:pos:R:3 comment="CdNi2Ir PBE relaxed" final_energy_ev_per_atom=-4.7618 pbc="T T T"
Cd 0.000 0.000 0.000
Cd 0.000 1.930 4.287
Ni 0.965 -0.747 6.430
Ni 1.183 0.965 2.143
Ni 0.965 2.676 -2.143
Ni 0.747 0.965 10.717
Ir 1.930 0.000 4.287
Ir 0.000 0.000 8.574

(6)
4
Lattice="2.958 0.000 0.000 0.000 2.958 0.000 0.000 0.000 7.645" Properties=species:S:1:pos:R:3 comment="Cd2NiIr PBE relaxed" final_energy_ev_per_atom=-4.0017 pbc="T T T"
Cd 0.000 0.000 0.000
Cd 1.479 1.479 2.445
Ni 1.479 1.479 5.855
Ir 0.000 0.000 4.449

ΔH_f (0 K) values (in eV/atom) by entry order: 0.1686 0.1359 0.1867 0.5645 0.5729 0.1164.